# 1
A plane-wave DFT calculation with PBE was carried out for an optimized crystal structure of CaHo12Ni6.

DFT total energy   -0.3729 Ry/atom

Cell: 8.524 8.524 8.524 Å, 109.47 109.47 109.47°
Fractional positions:
Ho 0.187 0.314 0.501
Ho 0.873 0.187 0.686
Ho 0.187 0.686 0.873
Ho 0.813 0.314 0.127
Ho 0.813 0.686 0.499
Ho 0.686 0.499 0.813
Ho 0.501 0.187 0.314
Ho 0.314 0.127 0.813
Ho 0.314 0.501 0.187
Ho 0.686 0.873 0.187
Ho 0.499 0.813 0.686
Ho 0.127 0.813 0.314
Ni 0.123 0.623 0.500
Ni 0.623 0.500 0.123
Ni 0.500 0.877 0.377
Ni 0.877 0.377 0.500
Ni 0.500 0.123 0.623
Ni 0.377 0.500 0.877
Ca 0.000 0.000 0.000

***

# 2
A plane-wave DFT calculation with PBE was carried out for an optimized crystal structure of CaDyMg2.

DFT total energy   -0.1749 Ry/atom

Cell: 3.556 3.556 11.240 Å, 80.90 80.90 60.00°
Fractional positions:
Mg 0.248 0.248 0.257
Mg 0.085 0.085 0.744
Dy 0.499 0.499 0.502
Ca 0.667 0.667 0.998

***

# 3
A plane-wave DFT calculation with PBE was carried out for an optimized crystal structure of LiPdPb2Br.

DFT total energy   -0.2224 Ry/atom
Energy relative to the elements, uncorrected   0.213 eV/atom

Cell: 5.781 5.781 4.312 Å, 90.00 90.00 90.00°
Fractional positions:
Pd 0.500 0.500 0.500
Pb 0.500 0.000 0.000
Pb 0.000 0.500 0.000
Br 0.000 0.000 0.000
Li 0.000 0.000 0.500

***

# 4
A plane-wave DFT calculation with PBE was carried out for an optimized crystal structure of ErHfCo4.

DFT total energy   -0.5460 Ry/atom

Cell: 4.943 4.943 4.943 Å, 60.00 60.00 60.00°
Site moments in Bohr magnetons follow the coordinates.
Fractional positions:
Co 0.625 0.625 0.625  0.88
Co 0.124 0.625 0.625  0.88
Co 0.625 0.625 0.124  0.88
Co 0.625 0.124 0.625  0.88
Hf 0.000 0.000 0.000  -0.28
Er 0.250 0.250 0.250  -0.27

***

# 5
A plane-wave DFT calculation with PBE was carried out for an optimized crystal structure of MnAlCu2.

DFT total energy   -0.3917 Ry/atom

Cell: 4.543 4.543 4.520 Å, 78.68 78.68 34.77°
Site moments in Bohr magnetons follow the coordinates.
Fractional positions:
Cu 0.498 0.498 0.498  0.06
Cu 0.002 0.002 0.002  0.06
Al 0.750 0.750 0.750  -0.05
Mn 0.250 0.250 0.250  2.97

***

# 6
A plane-wave DFT calculation with PBE was carried out for an optimized crystal structure of TaAuSCl2.

DFT total energy   -0.2653 Ry/atom
Energy relative to the elements, uncorrected   0.980 eV/atom

Cell: 4.849 4.849 5.032 Å, 90.00 90.00 90.00°
Site moments in Bohr magnetons follow the coordinates.
Fractional positions:
Cl 0.500 0.000 0.000  -0.01
Cl 0.000 0.500 0.000  -0.01
S 0.000 0.000 0.500  -0.12
Ta 0.500 0.500 0.500  2.17
Au 0.000 0.000 0.000  0.00